First-principles (PBE) data for an optimized crystal structure of CaAcNpN3, as listed in Alexandria via LeMat-Bulk.

## Properties
Formation energy without anion corrections (eV/atom): -0.918

a b c (Å): 6.465 3.725 10.135
angles (deg): 90.00 107.73 90.00
Space group P2_1/m (No. 11)
Symmetry-distinct sites (fractional):
Ca (0.015, 0.250, 0.368) [2 per cell]
Ac (0.493, 0.250, 0.667) [2 per cell]
Np (0.042, 0.250, 0.926) [2 per cell]
N (0.156, 0.250, 0.165) [2 per cell]
N (0.171, 0.250, 0.778) [2 per cell]
N (0.284, 0.750, 0.518) [2 per cell]

---

First-principles (PBE) data for an optimized crystal structure of CaAc2NpN4, as listed in Alexandria via LeMat-Bulk.

## Properties
Formation energy without anion corrections (eV/atom): -1.037

a b c (Å): 6.214 3.676 6.446
angles (deg): 90.00 108.76 90.00
Space group P2/m (No. 10)
Symmetry-distinct sites (fractional):
Ca (0.000, 0.000, 0.000) [1 per cell]
Ac (0.000, 0.500, 0.500) [1 per cell]
Ac (0.500, 0.000, 0.500) [1 per cell]
Np (0.500, 0.500, 0.000) [1 per cell]
N (0.279, 0.000, 0.789) [2 per cell]
N (0.287, 0.500, 0.204) [2 per cell]

---

First-principles (PBE) data for an optimized crystal structure of Ca2Ac3NpN6, as listed in Alexandria via LeMat-Bulk.

## Properties
Formation energy without anion corrections (eV/atom): -1.067

a b c (Å): 6.376 10.951 6.417
angles (deg): 90.00 108.94 90.00
Space group C2/m (No. 12)
Symmetry-distinct sites (fractional):
Ca (0.000, 0.166, 0.000) [4 per cell]
Ac (0.000, 0.000, 0.500) [2 per cell]
Ac (0.000, 0.331, 0.500) [4 per cell]
Np (0.000, 0.500, 0.000) [2 per cell]
N (0.212, 0.359, 0.212) [8 per cell]
N (0.215, 0.500, 0.759) [4 per cell]

---

First-principles (PBE) data for an optimized crystal structure of CaAcNO, as listed in Alexandria via LeMat-Bulk.

## Properties
Formation energy without anion corrections (eV/atom): -1.925

a b c (Å): 3.7437 3.7437 17.8962
angles (deg): 90.00 90.00 120.00
Space group R3m (No. 160, hexagonal axes)
Symmetry-distinct sites (fractional):
Ca (0.0000, 0.0000, 0.0000) [3 per cell]
Ac (0.0000, 0.0000, 0.5049) [3 per cell]
N (0.0000, 0.0000, 0.2472) [3 per cell]
O (0.0000, 0.0000, 0.7446) [3 per cell]

---

First-principles (PBE) data for an optimized crystal structure of CaAc2Os2N6, as listed in Alexandria via LeMat-Bulk.

## Properties
Formation energy without anion corrections (eV/atom): -0.457

a b c (Å): 5.9008 5.9008 18.5787
angles (deg): 90.00 90.00 120.00
Space group R-3m (No. 166, hexagonal axes)
Symmetry-distinct sites (fractional):
Ca (0.0000, 0.0000, 0.0000) [3 per cell]
Ac (0.0000, 0.0000, 0.2126) [6 per cell]
Os (0.0000, 0.0000, 0.4025) [6 per cell]
N (0.0047, 0.5024, 0.7626) [18 per cell]

---

First-principles (PBE) data for an optimized crystal structure of Ca2AcOsN4, as listed in Alexandria via LeMat-Bulk.

## Properties
Formation energy without anion corrections (eV/atom): -0.543

a b c (Å): 3.556 12.102 11.934
angles (deg): 90.00 90.00 90.00
Space group Cmcm (No. 63)
Symmetry-distinct sites (fractional):
Ca (0.000, 0.127, 0.036) [8 per cell]
Ac (0.000, 0.402, 0.250) [4 per cell]
Os (0.000, 0.333, 0.750) [4 per cell]
N (0.000, 0.092, 0.250) [4 per cell]
N (0.000, 0.231, 0.632) [8 per cell]
N (0.000, 0.500, 0.000) [4 per cell]

---

First-principles (PBE) data for an optimized crystal structure of Ca2AcP2N6, as listed in Alexandria via LeMat-Bulk.

## Properties
Formation energy without anion corrections (eV/atom): -0.780

a b c (Å): 9.082 5.763 7.074
angles (deg): 90.00 114.67 90.00
Space group C2/m (No. 12)
Symmetry-distinct sites (fractional):
Ca (0.188, 0.000, 0.126) [4 per cell]
Ac (0.000, 0.000, 0.500) [2 per cell]
P (0.032, 0.500, 0.266) [4 per cell]
N (0.058, 0.263, 0.825) [8 per cell]
N (0.196, 0.500, 0.472) [4 per cell]

---

First-principles (PBE) data for an optimized crystal structure of CaAc3P2N6, as listed in Alexandria via LeMat-Bulk.

## Properties
Formation energy without anion corrections (eV/atom): -1.060

a b c (Å): 5.8853 5.8853 6.6910
angles (deg): 90.00 90.00 120.00
Space group P-3m1 (No. 164)
Symmetry-distinct sites (fractional):
Ca (0.0000, 0.0000, 0.0000) [1 per cell]
Ac (0.0000, 0.0000, 0.5000) [1 per cell]
Ac (0.3333, 0.6667, 0.1578) [2 per cell]
P (0.3333, 0.6667, 0.6933) [2 per cell]
N (0.1821, 0.3643, 0.7854) [6 per cell]

---

First-principles (PBE) data for an optimized crystal structure of CaAc2PaN4, as listed in Alexandria via LeMat-Bulk.

## Properties
Formation energy without anion corrections (eV/atom): -1.237

a b c (Å): 6.283 3.721 6.496
angles (deg): 90.00 108.78 90.00
Space group P2/m (No. 10)
Symmetry-distinct sites (fractional):
Ca (0.000, 0.000, 0.000) [1 per cell]
Ac (0.000, 0.500, 0.500) [1 per cell]
Ac (0.500, 0.000, 0.500) [1 per cell]
Pa (0.500, 0.500, 0.000) [1 per cell]
N (0.279, 0.000, 0.787) [2 per cell]
N (0.279, 0.500, 0.217) [2 per cell]

---

First-principles (PBE) data for an optimized crystal structure of CaAc3Pa2N6, as listed in Alexandria via LeMat-Bulk.

## Properties
Formation energy without anion corrections (eV/atom): -1.319

a b c (Å): 16.183 3.678 7.470
angles (deg): 90.00 105.86 90.00
Space group C2/m (No. 12)
Symmetry-distinct sites (fractional):
Ca (0.000, 0.000, 0.000) [2 per cell]
Ac (0.000, 0.000, 0.500) [2 per cell]
Ac (0.166, 0.500, 0.837) [4 per cell]
Pa (0.165, 0.500, 0.327) [4 per cell]
N (0.022, 0.500, 0.257) [4 per cell]
N (0.164, 0.000, 0.123) [4 per cell]
N (0.179, 0.000, 0.548) [4 per cell]

---

First-principles (PBE) data for an optimized crystal structure of CaAc4Pa3N8, as listed in Alexandria via LeMat-Bulk.

## Properties
Formation energy without anion corrections (eV/atom): -1.358

a b c (Å): 7.2646 7.2646 18.6202
angles (deg): 90.00 90.00 120.00
Space group R-3m (No. 166, hexagonal axes)
Symmetry-distinct sites (fractional):
Ca (0.0000, 0.0000, 0.0000) [3 per cell]
Ac (0.0000, 0.0000, 0.5000) [3 per cell]
Ac (0.0000, 0.5000, 0.5000) [9 per cell]
Pa (0.0000, 0.5000, 0.0000) [9 per cell]
N (0.0000, 0.0000, 0.2700) [6 per cell]
N (0.0249, 0.5125, 0.2679) [18 per cell]

---

First-principles (PBE) data for an optimized crystal structure of CaAcPaN3, as listed in Alexandria via LeMat-Bulk.

## Properties
Formation energy without anion corrections (eV/atom): -1.255

a b c (Å): 7.200 3.682 9.523
angles (deg): 90.00 99.48 90.00
Space group P2_1/m (No. 11)
Symmetry-distinct sites (fractional):
Ca (0.193, 0.250, 0.044) [2 per cell]
Ac (0.412, 0.250, 0.658) [2 per cell]
Pa (0.097, 0.750, 0.364) [2 per cell]
N (0.070, 0.750, 0.145) [2 per cell]
N (0.129, 0.750, 0.598) [2 per cell]
N (0.332, 0.250, 0.390) [2 per cell]